The following is a DFT calculation (GGA-PBE) of BaMo2Pb2 after structural relaxation.

Lattice parameters (Å, degrees): 5.262 5.262 6.203 64.90 64.90 90.00
Fractional coordinates of all 5 atoms:
Pb: 0.750 0.250 0.500
Pb: 0.250 0.750 0.500
Mo: 0.392 0.392 0.216
Mo: 0.608 0.608 0.784
Ba: 0.000 0.000 0.000

## Properties
* formation energy: 31.7 kJ per mole of atoms
* energy: -0.4316 Ry per atom